1.
## PmLuCdNi (PBE-GGA)

Data for a relaxed structure of PmLuCdNi.

a b c (Å): 5.072 5.072 5.072
angles (deg): 60.00 60.00 60.00
Positions (direct):
Cd (0.750, 0.750, 0.750)
Lu (0.500, 0.500, 0.500)
Ni (0.250, 0.250, 0.250)
Pm (0.000, 0.000, 0.000)

Output
As for the crystal system: cubic. The calculated formation energy comes out at -235 meV/atom.

---

2.
## Zr2FePtN (PBE-GGA)

Data for a relaxed structure of Zr2FePtN.

a b c (Å): 4.514 4.514 3.752
angles (deg): 90.00 90.00 90.00
Site moments in Bohr magnetons follow the coordinates.
Positions (direct):
N (0.000, 0.000, 0.000)  0.04
Zr (0.000, 0.500, 0.000)  -0.07
Zr (0.500, 0.000, 0.000)  -0.07
Pt (0.500, 0.500, 0.500)  0.03
Fe (0.000, 0.000, 0.500)  1.95

Output
As for the crystal system: tetragonal. The value obtained for the uncorrected formation energy is -950.6 meV per atom.